# Dy3InTe, relaxed, DFT PBE
data_Dy3InTe
_chemical_formula_sum 'Dy12 In4 Te4'
_cell_length_a 8.044
_cell_length_b 4.504
_cell_length_c 16.273
_cell_angle_alpha 90.00
_cell_angle_beta 90.00
_cell_angle_gamma 90.00
_space_group_name_H-M_alt 'P n m a'
_space_group_IT_number 62
loop_
_space_group_symop_operation_xyz
'x,y,z'
'-x,-y,-z'
'-x+1/2,-y,z+1/2'
'x+1/2,y,-z+1/2'
'x+1/2,-y+1/2,-z+1/2'
'-x+1/2,y+1/2,z+1/2'
'-x,y+1/2,-z'
'x,-y+1/2,z'
loop_
_atom_site_label
_atom_site_fract_x
_atom_site_fract_y
_atom_site_fract_z
Dy1 0.015 0.250 0.112
Dy2 0.132 0.250 0.558
Dy3 0.187 0.750 0.262
In1 0.084 0.750 0.693
Te1 0.221 0.250 0.949
# DFT total energy (eV per atom): -4.627
# E_form (uncorrected) (kJ/mol of atoms): -66.6
# Spin magnetization (μB per formula unit): 0.00
# Energy relative to the lowest polymorph listed for this composition (meV per atom): 0

---

# Dy2InTe, relaxed, DFT PBE
data_Dy2InTe
_chemical_formula_sum 'Dy6 In3 Te3'
_cell_length_a 4.1453
_cell_length_b 4.1453
_cell_length_c 23.7805
_cell_angle_alpha 90.00
_cell_angle_beta 90.00
_cell_angle_gamma 120.00
_space_group_name_H-M_alt 'R -3 m'
_space_group_IT_number 166
_space_group_name_Hall '-R 3 2"'
loop_
_atom_site_label
_atom_site_fract_x
_atom_site_fract_y
_atom_site_fract_z
Dy1 0.0000 0.0000 0.2488
In1 0.0000 0.0000 0.0000
Te1 0.0000 0.0000 0.5000
# DFT total energy (eV per atom): -4.603
# E_form (uncorrected) (kJ/mol of atoms): -80.3
# Spin magnetization (μB per formula unit): 0.00
# Energy relative to the lowest polymorph listed for this composition (meV per atom): 79

---

# Dy8In2Te, relaxed, DFT PBE
data_Dy8In2Te
_chemical_formula_sum 'Dy16 In4 Te2'
_cell_length_a 19.456
_cell_length_b 5.060
_cell_length_c 6.878
_cell_angle_alpha 90.00
_cell_angle_beta 102.12
_cell_angle_gamma 90.00
_space_group_name_H-M_alt 'C 1 2/m 1'
_space_group_IT_number 12
loop_
_space_group_symop_operation_xyz
'x,y,z'
'-x,-y,-z'
'-x,y,-z'
'x,-y,z'
'x+1/2,y+1/2,z'
'-x+1/2,-y+1/2,-z'
'-x+1/2,y+1/2,-z'
'x+1/2,-y+1/2,z'
loop_
_atom_site_label
_atom_site_fract_x
_atom_site_fract_y
_atom_site_fract_z
Dy1 0.024 0.000 0.258
Dy2 0.094 0.500 0.974
Dy3 0.156 0.500 0.490
Dy4 0.215 0.000 0.816
In1 0.185 0.000 0.255
Te1 0.000 0.500 0.500
# DFT total energy (eV per atom): -4.466
# E_form (uncorrected) (kJ/mol of atoms): -32.4
# Spin magnetization (μB per formula unit): 0.00

---

# Dy2ThIn3Te6, relaxed, DFT PBE
data_Dy2ThIn3Te6
_chemical_formula_sum 'Dy4 Th2 In6 Te12'
_cell_length_a 7.586
_cell_length_b 13.139
_cell_length_c 8.637
_cell_angle_alpha 90.00
_cell_angle_beta 107.03
_cell_angle_gamma 90.00
_space_group_name_H-M_alt 'C 1 2/m 1'
_space_group_IT_number 12
loop_
_space_group_symop_operation_xyz
'x,y,z'
'-x,-y,-z'
'-x,y,-z'
'x,-y,z'
'x+1/2,y+1/2,z'
'-x+1/2,-y+1/2,-z'
'-x+1/2,y+1/2,-z'
'x+1/2,-y+1/2,z'
loop_
_atom_site_label
_atom_site_fract_x
_atom_site_fract_y
_atom_site_fract_z
Dy1 0.000 0.167 0.000
Th1 0.000 0.500 0.000
In1 0.000 0.000 0.500
In2 0.000 0.334 0.500
Te1 0.237 0.000 0.223
Te2 0.243 0.331 0.224
# DFT total energy (eV per atom): -4.530
# E_form (uncorrected) (kJ/mol of atoms): -85.8
# Spin magnetization (μB per formula unit): 0.00

---

# Dy2Tl3InTe6, relaxed, DFT PBE
data_Dy2Tl3InTe6
_chemical_formula_sum 'Dy4 Tl6 In2 Te12'
_cell_length_a 7.710
_cell_length_b 13.345
_cell_length_c 8.519
_cell_angle_alpha 90.00
_cell_angle_beta 107.62
_cell_angle_gamma 90.00
_space_group_name_H-M_alt 'C 1 2/m 1'
_space_group_IT_number 12
loop_
_space_group_symop_operation_xyz
'x,y,z'
'-x,-y,-z'
'-x,y,-z'
'x,-y,z'
'x+1/2,y+1/2,z'
'-x+1/2,-y+1/2,-z'
'-x+1/2,y+1/2,-z'
'x+1/2,-y+1/2,z'
loop_
_atom_site_label
_atom_site_fract_x
_atom_site_fract_y
_atom_site_fract_z
Dy1 0.000 0.166 0.000
Tl1 0.000 0.000 0.500
Tl2 0.000 0.329 0.500
In1 0.000 0.500 0.000
Te1 0.233 0.336 0.210
Te2 0.243 0.000 0.215
# DFT total energy (eV per atom): -3.934
# E_form (uncorrected) (kJ/mol of atoms): -74.9
# Spin magnetization (μB per formula unit): 0.00

---

# DyTlInTe3, relaxed, DFT PBE
data_DyTlInTe3
_chemical_formula_sum 'Dy2 Tl2 In2 Te6'
_cell_length_a 9.459
_cell_length_b 4.464
_cell_length_c 11.578
_cell_angle_alpha 90.00
_cell_angle_beta 104.59
_cell_angle_gamma 90.00
_space_group_name_H-M_alt 'P 1 21/m 1'
_space_group_IT_number 11
loop_
_space_group_symop_operation_xyz
'x,y,z'
'-x,-y,-z'
'-x,y+1/2,-z'
'x,-y+1/2,z'
loop_
_atom_site_label
_atom_site_fract_x
_atom_site_fract_y
_atom_site_fract_z
Dy1 0.163 0.250 0.122
Tl1 0.308 0.750 0.808
In1 0.457 0.750 0.369
Te1 0.052 0.250 0.849
Te2 0.266 0.250 0.406
Te3 0.387 0.750 0.105
# DFT total energy (eV per atom): -3.893
# E_form (uncorrected) (kJ/mol of atoms): -68.0
# Spin magnetization (μB per formula unit): 0.00

---

# Dy3Tl3InTe8, relaxed, DFT PBE
data_Dy3Tl3InTe8
_chemical_formula_sum 'Dy6 Tl6 In2 Te16'
_cell_length_a 15.237
_cell_length_b 8.785
_cell_length_c 9.623
_cell_angle_alpha 90.00
_cell_angle_beta 121.92
_cell_angle_gamma 90.00
_space_group_name_H-M_alt 'C 1 2/m 1'
_space_group_IT_number 12
loop_
_space_group_symop_operation_xyz
'x,y,z'
'-x,-y,-z'
'-x,y,-z'
'x,-y,z'
'x+1/2,y+1/2,z'
'-x+1/2,-y+1/2,-z'
'-x+1/2,y+1/2,-z'
'x+1/2,-y+1/2,z'
loop_
_atom_site_label
_atom_site_fract_x
_atom_site_fract_y
_atom_site_fract_z
Dy1 0.000 0.000 0.000
Dy2 0.250 0.250 0.000
Tl1 0.000 0.500 0.500
Tl2 0.250 0.250 0.500
In1 0.000 0.500 0.000
Te1 0.012 0.253 0.788
Te2 0.235 0.500 0.212
Te3 0.239 0.000 0.216
# DFT total energy (eV per atom): -4.084
# E_form (uncorrected) (kJ/mol of atoms): -80.3
# Spin magnetization (μB per formula unit): 0.00

---

# DyTmIn2Te4, relaxed, DFT PBE
data_DyTmIn2Te4
_chemical_formula_sum 'Dy1 Tm1 In2 Te4'
_cell_length_a 7.607
_cell_length_b 4.393
_cell_length_c 8.499
_cell_angle_alpha 90.00
_cell_angle_beta 107.36
_cell_angle_gamma 90.00
_space_group_name_H-M_alt 'P 1 2/m 1'
_space_group_IT_number 10
loop_
_space_group_symop_operation_xyz
'x,y,z'
'-x,-y,-z'
'-x,y,-z'
'x,-y,z'
loop_
_atom_site_label
_atom_site_fract_x
_atom_site_fract_y
_atom_site_fract_z
Dy1 0.000 0.000 0.000
Tm1 0.500 0.500 0.000
In1 0.000 0.500 0.500
In2 0.500 0.000 0.500
Te1 0.242 0.500 0.218
Te2 0.264 0.000 0.784
# DFT total energy (eV per atom): -4.346
# E_form (uncorrected) (kJ/mol of atoms): -92.2
# Spin magnetization (μB per formula unit): 0.00

---

# DyTm3In4Te8, relaxed, DFT PBE
data_DyTm3In4Te8
_chemical_formula_sum 'Dy3 Tm9 In12 Te24'
_cell_length_a 8.7646
_cell_length_b 8.7646
_cell_length_c 24.3484
_cell_angle_alpha 90.00
_cell_angle_beta 90.00
_cell_angle_gamma 120.00
_space_group_name_H-M_alt 'R -3 m'
_space_group_IT_number 166
_space_group_name_Hall '-R 3 2"'
loop_
_atom_site_label
_atom_site_fract_x
_atom_site_fract_y
_atom_site_fract_z
Dy1 0.0000 0.0000 0.0000
Tm1 0.0000 0.5000 0.0000
In1 0.0000 0.0000 0.5000
In2 0.0000 0.5000 0.5000
Te1 0.0000 0.0000 0.2616
Te2 0.0025 0.5012 0.2611
# DFT total energy (eV per atom): -4.331
# E_form (uncorrected) (kJ/mol of atoms): -91.6
# Spin magnetization (μB per formula unit): 0.00

---

# DyTm3In3Te8, relaxed, DFT PBE
data_DyTm3In3Te8
_chemical_formula_sum 'Dy3 Tm9 In9 Te24'
_cell_length_a 8.7044
_cell_length_b 8.7044
_cell_length_c 23.6415
_cell_angle_alpha 90.00
_cell_angle_beta 90.00
_cell_angle_gamma 120.00
_space_group_name_H-M_alt 'R -3 m'
_space_group_IT_number 166
_space_group_name_Hall '-R 3 2"'
loop_
_atom_site_label
_atom_site_fract_x
_atom_site_fract_y
_atom_site_fract_z
Dy1 0.0000 0.0000 0.0000
Tm1 0.0000 0.5000 0.0000
In1 0.0000 0.5000 0.5000
Te1 0.0000 0.0000 0.2591
Te2 0.0046 0.5023 0.2590
# DFT total energy (eV per atom): -4.412
# E_form (uncorrected) (kJ/mol of atoms): -95.2
# Spin magnetization (μB per formula unit): 0.00